1.
Material: Zr5Ta
Method: DFT, PBE
State: optimized geometry

**Total magnetization**: 0.00 μB/cell
**Energy of formation**: 2.5 eV/f.u.
**E**: -8.681 eV per atom
**Calculated volume**: 22.3 A^3/atom

abc: 5.742 5.742 5.742
angles: 60.00 60.00 60.00
Positions (direct):
Ta 0.000 0.000 0.000
Zr 0.625 0.625 0.625
Zr 0.625 0.625 0.124
Zr 0.625 0.124 0.625
Zr 0.124 0.625 0.625
Zr 0.250 0.250 0.250


2.
Material: Zr2Ta3
Method: DFT, PBE
State: optimized geometry

**Total magnetization**: 0.00 μB/cell
**Energy of formation**: 1.2 eV/f.u.
**E**: -10.289 eV per atom
**Calculated volume**: 20.3 A^3/atom
**ΔE to the lowest computed polymorph**: 23 meV/atom

abc: 12.665 12.665 12.665
angles: 13.86 13.86 13.86
Positions (direct):
Ta 0.802 0.802 0.802
Ta 0.198 0.198 0.198
Ta 0.000 0.000 0.000
Zr 0.599 0.599 0.599
Zr 0.401 0.401 0.401


3.
Material: ZrTa
Method: DFT, PBE
State: optimized geometry

**Total magnetization**: 0.00 μB/cell
**Energy of formation**: 0.2 eV/f.u.
**E**: -10.078 eV per atom
**Calculated volume**: 20.5 A^3/atom

abc: 3.005 4.768 5.855
angles: 90.00 77.56 90.00
Positions (direct):
Ta 0.033 0.000 0.015
Ta 0.217 0.500 0.235
Zr 0.476 0.000 0.486
Zr 0.774 0.500 0.764


4.
Material: ZrTa
Method: DFT, PBE
State: optimized geometry

**Total magnetization**: 0.00 μB/cell
**Energy of formation**: 0.4 eV/f.u.
**E**: -10.021 eV per atom
**Calculated volume**: 20.7 A^3/atom

abc: 2.905 2.905 9.827
angles: 90.00 90.00 90.00
Positions (direct):
Ta 0.750 0.750 0.883
Ta 0.250 0.250 0.117
Zr 0.250 0.250 0.644
Zr 0.750 0.750 0.356


5.
Material: ZrTa2
Method: DFT, PBE
State: optimized geometry

**Total magnetization**: 0.00 μB/cell
**Energy of formation**: 0.1 eV/f.u.
**E**: -10.716 eV per atom
**Calculated volume**: 20.2 A^3/atom
**ΔE to the lowest computed polymorph**: 0 meV/atom

abc: 5.595 5.595 8.964
angles: 90.00 90.00 120.00
Positions (direct):
Ta 0.659 0.829 0.750
Ta 0.171 0.341 0.750
Ta 0.341 0.171 0.250
Ta 0.000 0.000 0.500
Ta 0.829 0.659 0.250
Ta 0.171 0.829 0.750
Ta 0.829 0.171 0.250
Ta 0.000 0.000 0.000
Zr 0.333 0.667 0.436
Zr 0.667 0.333 0.936
Zr 0.333 0.667 0.064
Zr 0.667 0.333 0.564


6.
Material: ZrTa
Method: DFT, PBE
State: optimized geometry

**Total magnetization**: 0.00 μB/cell
**Energy of formation**: 0.5 eV/f.u.
**E**: -9.972 eV per atom
**Calculated volume**: 20.9 A^3/atom

abc: 5.526 8.070 7.499
angles: 90.00 90.00 90.00
Positions (direct):
Zr 0.751 0.246 0.851
Zr 0.751 0.439 0.171
Zr 0.749 0.754 0.351
Zr 0.251 0.254 0.149
Zr 0.251 0.061 0.829
Zr 0.249 0.939 0.329
Zr 0.249 0.746 0.649
Zr 0.749 0.561 0.671
Ta 0.250 0.558 0.324
Ta 0.501 0.248 0.500
Ta 0.750 0.058 0.176
Ta 0.999 0.752 0.000
Ta 0.499 0.748 0.000
Ta 0.250 0.442 0.824
Ta 0.001 0.252 0.500
Ta 0.750 0.942 0.676


7.
Material: ZrTa
Method: DFT, PBE
State: optimized geometry

**Total magnetization**: 0.00 μB/cell
**Energy of formation**: 0.8 eV/f.u.
**E**: -9.799 eV per atom
**Calculated volume**: 21.7 A^3/atom

abc: 5.055 5.055 7.837
angles: 90.00 90.00 120.00
Positions (direct):
Ta 0.667 0.333 0.086
Ta 0.667 0.333 0.414
Ta 0.333 0.667 0.586
Ta 0.333 0.667 0.914
Zr 0.333 0.667 0.250
Zr 0.667 0.333 0.750
Zr 0.000 0.000 0.250
Zr 0.000 0.000 0.750


8.
Material: ZrTa
Method: DFT, PBE
State: optimized geometry

**Total magnetization**: 0.00 μB/cell
**Energy of formation**: 0.5 eV/f.u.
**E**: -9.960 eV per atom
**Calculated volume**: 20.7 A^3/atom

abc: 3.038 3.038 10.342
angles: 90.00 90.00 120.00
Positions (direct):
Zr 0.333 0.667 0.250
Zr 0.667 0.333 0.750
Ta 0.000 0.000 0.000
Ta 0.000 0.000 0.500


9.
Material: ZrTa
Method: DFT, PBE
State: optimized geometry

**Total magnetization**: 9.55 μB/cell
**Energy of formation**: 5.7 eV/f.u.
**E**: -7.339 eV per atom
**Calculated volume**: 38.0 A^3/atom

abc: 7.698 7.698 7.698
angles: 90.00 90.00 90.00
Last column: magnetic moment on the atom in μB.
Positions (direct):
Ta 0.000 0.500 0.250  0.79
Ta 0.750 0.000 0.500  0.79
Ta 0.500 0.250 0.000  0.79
Ta 0.500 0.750 0.000  0.79
Ta 0.250 0.000 0.500  0.79
Ta 0.000 0.500 0.750  0.79
Zr 0.500 0.000 0.750  0.45
Zr 0.500 0.000 0.250  0.45
Zr 0.000 0.250 0.500  0.45
Zr 0.250 0.500 0.000  0.45
Zr 0.000 0.750 0.500  0.45
Zr 0.750 0.500 0.000  0.45


10.
Material: ZrTa
Method: DFT, PBE
State: optimized geometry

**Total magnetization**: 0.00 μB/cell
**Energy of formation**: 0.3 eV/f.u.
**E**: -10.073 eV per atom
**Calculated volume**: 20.6 A^3/atom

abc: 3.449 5.715 4.915
angles: 115.48 90.00 107.56
Positions (direct):
Ta 0.267 0.534 0.771
Ta 0.983 0.966 0.979
Zr 0.506 0.011 0.504
Zr 0.744 0.489 0.246


11.
Material: ZrTa2
Method: DFT, PBE
State: optimized geometry

**Total magnetization**: 0.00 μB/cell
**Energy of formation**: 2.5 eV/f.u.
**E**: -9.918 eV per atom
**Calculated volume**: 23.1 A^3/atom
**ΔE to the lowest computed polymorph**: 798 meV/atom

abc: 3.790 3.790 4.814
angles: 90.00 90.00 90.00
Positions (direct):
Zr 0.000 0.000 0.000
Ta 0.000 0.500 0.500
Ta 0.500 0.000 0.500


12.
Material: ZrTa2
Method: DFT, PBE
State: optimized geometry

**Total magnetization**: 0.00 μB/cell
**Energy of formation**: 2.4 eV/f.u.
**E**: -9.960 eV per atom
**Calculated volume**: 20.7 A^3/atom
**ΔE to the lowest computed polymorph**: 756 meV/atom

abc: 5.459 5.459 5.459
angles: 106.35 106.35 115.91
Positions (direct):
Ta 0.157 0.657 0.814
Ta 0.343 0.157 0.500
Ta 0.843 0.343 0.186
Ta 0.657 0.843 0.500
Zr 0.250 0.250 0.000
Zr 0.750 0.750 0.000


13.
Material: ZrTa2
Method: DFT, PBE
State: optimized geometry

**Total magnetization**: 0.00 μB/cell
**Energy of formation**: 0.6 eV/f.u.
**E**: -10.539 eV per atom
**Calculated volume**: 19.8 A^3/atom
**ΔE to the lowest computed polymorph**: 177 meV/atom

abc: 7.583 7.583 7.583
angles: 158.32 158.32 30.85
Positions (direct):
Zr 0.333 0.333 0.000
Ta 0.004 0.004 0.000
Ta 0.662 0.662 0.000


14.
Material: Zr3Ta5
Method: DFT, PBE
State: optimized geometry

**Total magnetization**: 0.00 μB/cell
**Energy of formation**: 1.2 eV/f.u.
**E**: -10.461 eV per atom
**Calculated volume**: 19.9 A^3/atom
**ΔE to the lowest computed polymorph**: 0 meV/atom

abc: 5.900 5.900 4.819
angles: 90.00 90.00 108.20
Positions (direct):
Ta 0.500 0.000 0.000
Ta 0.784 0.784 0.500
Ta 0.000 0.500 0.000
Ta 0.000 0.000 0.000
Ta 0.216 0.216 0.500
Zr 0.500 0.500 0.000
Zr 0.739 0.261 0.500
Zr 0.261 0.739 0.500


15.
Material: ZrTa
Method: DFT, PBE
State: optimized geometry

**Total magnetization**: 0.00 μB/cell
**Energy of formation**: 0.3 eV/f.u.
**E**: -10.029 eV per atom
**Calculated volume**: 20.7 A^3/atom

abc: 3.583 14.074 4.919
angles: 90.00 90.00 90.00
Positions (direct):
Zr 0.500 0.833 0.227
Zr 0.500 0.500 0.300
Zr 0.500 0.667 0.727
Zr 0.500 0.333 0.727
Zr 0.500 0.167 0.227
Zr 0.500 0.000 0.800
Ta 0.000 0.338 0.208
Ta 0.000 0.838 0.708
Ta 0.000 0.662 0.208
Ta 0.000 0.500 0.829
Ta 0.000 0.162 0.708
Ta 0.000 0.000 0.329


16.
Material: ZrTa
Method: DFT, PBE
State: optimized geometry

**Total magnetization**: 0.00 μB/cell
**Energy of formation**: 1.3 eV/f.u.
**E**: -9.566 eV per atom
**Calculated volume**: 21.9 A^3/atom

abc: 10.563 8.524 7.800
angles: 90.00 90.00 90.00
Positions (direct):
Ta 0.500 0.000 0.167
Ta 0.000 0.500 0.833
Ta 0.250 0.250 0.417
Ta 0.750 0.250 0.583
Ta 0.500 0.000 0.833
Ta 0.750 0.750 0.083
Ta 0.000 0.500 0.167
Ta 0.000 0.000 0.333
Ta 0.250 0.250 0.083
Ta 0.500 0.500 0.667
Ta 0.000 0.000 0.667
Ta 0.250 0.750 0.583
Ta 0.750 0.750 0.417
Ta 0.250 0.750 0.917
Ta 0.750 0.250 0.917
Ta 0.500 0.500 0.333
Zr 0.250 0.931 0.250
Zr 0.500 0.319 0.000
Zr 0.750 0.431 0.250
Zr 0.500 0.681 0.000
Zr 0.000 0.681 0.500
Zr 0.250 0.431 0.750
Zr 0.250 0.569 0.250
Zr 0.000 0.819 0.000
Zr 0.750 0.569 0.750
Zr 0.000 0.181 0.000
Zr 0.500 0.819 0.500
Zr 0.500 0.181 0.500
Zr 0.750 0.931 0.750
Zr 0.000 0.319 0.500
Zr 0.250 0.069 0.750
Zr 0.750 0.069 0.250


17.
Material: ZrTa2
Method: DFT, PBE
State: optimized geometry

**Total magnetization**: 0.00 μB/cell
**Energy of formation**: 0.6 eV/f.u.
**E**: -10.552 eV per atom
**Calculated volume**: 19.6 A^3/atom
**ΔE to the lowest computed polymorph**: 164 meV/atom

abc: 2.895 4.828 8.430
angles: 90.00 90.00 90.00
Positions (direct):
Zr 0.000 0.000 0.000
Zr 0.500 0.500 0.500
Ta 0.355 0.500 0.836
Ta 0.855 0.000 0.664
Ta 0.145 0.000 0.336
Ta 0.645 0.500 0.164


18.
Material: ZrTa2
Method: DFT, PBE
State: optimized geometry

**Total magnetization**: 0.00 μB/cell
**Energy of formation**: 5.0 eV/f.u.
**E**: -9.089 eV per atom
**Calculated volume**: 22.4 A^3/atom
**ΔE to the lowest computed polymorph**: 1627 meV/atom

abc: 6.458 6.458 6.458
angles: 90.00 90.00 90.00
Positions (direct):
Ta 0.130 0.870 0.370
Ta 0.370 0.370 0.370
Ta 0.870 0.130 0.630
Ta 0.870 0.370 0.130
Ta 0.630 0.870 0.130
Ta 0.630 0.630 0.630
Ta 0.370 0.130 0.870
Ta 0.130 0.630 0.870
Zr 0.000 0.500 0.500
Zr 0.500 0.500 0.000
Zr 0.500 0.000 0.500
Zr 0.000 0.000 0.000


19.
Material: Zr5Ta
Method: DFT, PBE
State: optimized geometry

**Total magnetization**: 0.00 μB/cell
**Energy of formation**: 4.1 eV/f.u.
**E**: -8.412 eV per atom
**Calculated volume**: 23.7 A^3/atom

abc: 5.706 5.706 5.049
angles: 90.00 90.00 120.00
Positions (direct):
Zr 0.500 0.500 0.500
Zr 0.000 0.500 0.500
Zr 0.667 0.333 0.000
Zr 0.500 0.000 0.500
Zr 0.333 0.667 0.000
Ta 0.000 0.000 0.000


20.
Material: Zr4Ta5
Method: DFT, PBE
State: optimized geometry

**Total magnetization**: 0.00 μB/cell
**Energy of formation**: 2.1 eV/f.u.
**E**: -10.150 eV per atom
**Calculated volume**: 20.3 A^3/atom
**ΔE to the lowest computed polymorph**: 104 meV/atom

abc: 8.588 8.588 5.734
angles: 90.00 90.00 60.00
Positions (direct):
Ta 0.667 0.667 0.500
Ta 0.615 0.000 0.250
Ta 0.385 0.615 0.250
Ta 0.615 0.385 0.750
Ta 0.000 0.615 0.750
Ta 0.333 0.333 0.500
Ta 0.000 0.385 0.250
Ta 0.667 0.667 0.000
Ta 0.385 0.000 0.750
Ta 0.333 0.333 0.000
Zr 0.000 0.698 0.250
Zr 0.698 0.000 0.750
Zr 0.000 0.302 0.750
Zr 0.000 0.000 0.500
Zr 0.302 0.698 0.750
Zr 0.000 0.000 0.000
Zr 0.302 0.000 0.250
Zr 0.698 0.302 0.250